Entry 1:
TbPaPt2O8 | PBE | relaxed

```
TbPaPt2O8
1.0
-3.5135 3.5135 3.5381
3.5135 -3.5135 3.5381
3.5135 3.5135 -3.5381
Tb Pa Pt O
1 1 2 8
Direct
0.0000 0.0000 0.0000 Tb
0.7500 0.2500 0.5000 Pa
0.2500 0.7500 0.5000 Pt
0.5000 0.5000 0.0000 Pt
0.0328 0.3627 0.3299 O
0.0328 0.7028 0.6701 O
0.1098 0.2881 0.8217 O
0.2972 0.9672 0.3299 O
0.4663 0.2881 0.1783 O
0.6373 0.9672 0.6701 O
0.7119 0.5337 0.8217 O
0.7119 0.8902 0.1783 O
```

Calculated values
Fermi-level density of states: 0.339 states/eV/cell
Energy: -7.236 eV/atom
Formation energy (no corrections): -1.747 eV per atom
Mass density: 8.632 g/cm3
Volume: 174.7 Å³ per cell
Symmetry: No. 119

---

Entry 2:
La6ThCd | PBE | relaxed

```
La6ThCd
1.0
5.1345 0.0000 0.0000
0.0000 5.1345 0.0000
0.0000 0.0000 10.2228
La Th Cd
6 1 1
Direct
0.0000 0.0000 0.0000 La
0.0000 0.0000 0.5000 La
0.0000 0.5000 0.2489 La
0.0000 0.5000 0.7511 La
0.5000 0.0000 0.2489 La
0.5000 0.0000 0.7511 La
0.5000 0.5000 0.0000 Th
0.5000 0.5000 0.5000 Cd
```

Calculated values
Fermi-level density of states: 10.059 states/eV/cell
Energy: -4.789 eV/atom
Mass density: 7.257 g/cm3
Volume: 269.5 Å³ per cell
DFT formation energy: -0.052 eV per atom
Symmetry: No. 123

---

Entry 3:
ZrMnPb2 | PBE | relaxed

```
ZrMnPb2
1.0
5.6848 -1.6687 0.0000
5.6848 1.6687 0.0000
-2.7335 0.0000 4.8694
Zr Mn Pb
1 1 2
Direct
0.0000 0.0000 0.0000 Zr
0.5000 0.5000 0.5000 Mn
0.2319 0.2319 0.7318 Pb
0.7681 0.7681 0.2682 Pb
```

Calculated values
Fermi-level density of states: 3.226 states/eV/cell
E above lowest polymorph: 111.6 meV/atom
Energy: -6.034 eV/atom
Mass density: 10.076 g/cm3
Volume: 92.4 Å³ per cell
DFT formation energy: 0.249 eV per atom
Symmetry: No. 12

---

Entry 4:
YTc2Pt2 | PBE | relaxed

```
YTc2Pt2
1.0
-1.8499 1.8499 6.6906
1.8499 -1.8499 6.6906
1.8499 1.8499 -6.6906
Y Tc Pt
1 2 2
Direct
0.0000 0.0000 0.0000 Y
0.2500 0.7500 0.5000 Tc
0.7500 0.2500 0.5000 Tc
0.4009 0.4009 0.0000 Pt
0.5991 0.5991 0.0000 Pt
```

Calculated values
Fermi-level density of states: 5.980 states/eV/cell
E above lowest polymorph: 0.0 meV/atom
Energy: -8.184 eV/atom
Mass density: 12.240 g/cm3
Volume: 91.6 Å³ per cell
DFT formation energy: -0.329 eV per atom
Symmetry: No. 139

---

Entry 5:
TaAsOsN2 | PBE | relaxed

```
TaAsOsN2
1.0
3.9341 0.0000 0.0000
0.0000 3.9341 0.0000
0.0000 0.0000 5.5087
Ta As Os N
1 1 1 2
Direct
0.0000 0.0000 0.0000 Ta
0.0000 0.0000 0.5000 As
0.5000 0.5000 0.5000 Os
0.0000 0.5000 0.0000 N
0.5000 0.0000 0.0000 N
```

Calculated values
Fermi-level density of states: 5.408 states/eV/cell
Energy: -7.760 eV/atom
Formation energy (no corrections): 1.117 eV per atom
Mass density: 9.234 g/cm3
Volume: 85.3 Å³ per cell
Symmetry: No. 123

---

Entry 6:
Ba2Li4In | PBE | relaxed

```
Ba2Li4In
1.0
-2.6473 2.6473 8.8111
2.6473 -2.6473 8.8111
2.6473 2.6473 -8.8111
Ba Li In
2 4 1
Direct
0.1362 0.1362 0.0000 Ba
0.8638 0.8638 0.0000 Ba
0.0000 0.5000 0.5000 Li
0.3456 0.3456 0.0000 Li
0.5000 0.0000 0.5000 Li
0.6544 0.6544 0.0000 Li
0.5000 0.5000 0.0000 In
```

Calculated values
Fermi-level density of states: 2.665 states/eV/cell
Energy: -2.051 eV/atom
Mass density: 2.805 g/cm3
Volume: 247.0 Å³ per cell
DFT formation energy: -0.017 eV per atom
Symmetry: No. 139

---

Entry 7:
CrPBr2 | PBE | relaxed

```
CrPBr2
1.0
5.0446 0.0000 0.0000
0.0000 3.7211 0.0000
-1.4328 0.0000 5.0586
Cr P Br
1 1 2
Direct
0.0000 0.0000 0.0000 Cr
0.1394 0.5000 0.2840 P
0.4812 0.0000 0.9143 Br
0.8517 0.5000 0.5663 Br
```

Calculated values
Fermi-level density of states: 0.570 states/eV/cell
E above lowest polymorph: 252.3 meV/atom
Energy: -4.721 eV/atom
Formation energy (no corrections): -0.126 eV per atom
Mass density: 4.245 g/cm3
Volume: 95.0 Å³ per cell
Symmetry: No. 6

---

Entry 8:
VCuPt | PBE | relaxed

```
VCuPt
1.0
5.1363 -1.3258 0.0000
5.1363 1.3258 0.0000
-0.9466 0.0000 6.3620
V Cu Pt
2 2 2
Direct
0.0419 0.0419 0.3323 V
0.9581 0.9581 0.6677 V
0.3113 0.3113 0.3687 Cu
0.6887 0.6887 0.6313 Cu
0.1333 0.1333 0.9901 Pt
0.8667 0.8667 0.0099 Pt
```

Calculated values
Fermi-level density of states: 5.105 states/eV/cell
E above lowest polymorph: 381.8 meV/atom
Energy: -6.368 eV/atom
Mass density: 11.866 g/cm3
Volume: 86.6 Å³ per cell
DFT formation energy: 0.051 eV per atom
Symmetry: No. 12